DFT (GGA-PBEsol) results for an optimized crystal structure of LaY3.

a b c (Å): 5.036 5.036 9.969
angles (deg): 90.00 90.00 90.00
Positions (direct):
1 La 0.000 0.000 0.000
2 La 0.500 0.500 0.500
3 Y 0.000 0.000 0.500
4 Y 0.000 0.500 0.250
5 Y 0.000 0.500 0.750
6 Y 0.500 0.000 0.250
7 Y 0.500 0.000 0.750
8 Y 0.500 0.500 0.000

- density of states at the Fermi level (states/eV/f.u.) = 6.48
- ρ (kg/m³) = 5329
- ΔH_f (0 K) (eV per atom) = 0.033
- total moment (μB/cell) = 0.00